This record from the Open Quantum Materials Database describes a relaxed Re3Sn4 crystal. The functional is PBE-GGA. Values from VASP.

Values from the calculation:
- polymorph energy (0 for the lowest one) (meV/atom) = 144

```
&SYSTEM
  ibrav = 0, nat = 7, ntyp = 2
/
ATOMIC_SPECIES
Re 186.21 Re.upf
Sn 118.71 Sn.upf
ATOMIC_POSITIONS crystal
Re 0.074 0.074 0.074
Re 0.500 0.500 0.500
Re 0.926 0.926 0.926
Sn 0.213 0.213 0.213
Sn 0.362 0.362 0.362
Sn 0.638 0.638 0.638
Sn 0.787 0.787 0.787
CELL_PARAMETERS angstrom
1.588 0.917 15.207
-1.588 0.917 15.207
0.000 -1.834 15.207
```

This record from the Open Quantum Materials Database describes a relaxed SrTaAsO crystal. The functional is PBE-GGA. Values from VASP.

Values from the calculation:
- polymorph energy (0 for the lowest one) (meV/atom) = 43

```
&SYSTEM
  ibrav = 0, nat = 8, ntyp = 4
/
ATOMIC_SPECIES
As 74.92 As.upf
O 16.00 O.upf
Sr 87.62 Sr.upf
Ta 180.95 Ta.upf
ATOMIC_POSITIONS crystal
As 0.000 0.701 0.371
As 0.000 0.299 0.871
O 0.500 0.323 0.399
O 0.500 0.677 0.899
Sr 0.000 0.128 0.378
Sr 0.000 0.872 0.878
Ta 0.500 0.464 0.106
Ta 0.500 0.536 0.606
CELL_PARAMETERS angstrom
3.714 0.000 0.000
0.000 7.453 0.000
0.000 0.000 6.020
```

This record from the Open Quantum Materials Database describes a relaxed SrPrP2Pd2 crystal. The functional is PBE-GGA. Values from VASP.

```
&SYSTEM
  ibrav = 0, nat = 6, ntyp = 4
/
ATOMIC_SPECIES
P 30.97 P.upf
Pd 106.42 Pd.upf
Pr 140.91 Pr.upf
Sr 87.62 Sr.upf
ATOMIC_POSITIONS crystal
P 0.667 0.333 0.015
P 0.333 0.667 0.485
Pd 0.333 0.667 0.008
Pd 0.667 0.333 0.492
Pr 0.000 0.000 0.250
Sr 0.000 0.000 0.750
CELL_PARAMETERS angstrom
4.217 0.000 0.000
-2.109 3.652 0.000
0.000 0.000 8.348
```

This record from the Open Quantum Materials Database describes a relaxed ReP crystal. The functional is PBE-GGA. Values from VASP.

Values from the calculation:
- polymorph energy (0 for the lowest one) (meV/atom) = 469

```
&SYSTEM
  ibrav = 0, nat = 2, ntyp = 2
/
ATOMIC_SPECIES
P 30.97 P.upf
Re 186.21 Re.upf
ATOMIC_POSITIONS crystal
P 0.000 0.000 0.000
Re 0.250 0.250 0.250
CELL_PARAMETERS angstrom
0.000 2.653 2.653
2.653 0.000 2.653
2.653 2.653 0.000
```

This record from the Open Quantum Materials Database describes a relaxed CsPuTc crystal. The functional is PBE-GGA. Values from VASP.

```
&SYSTEM
  ibrav = 0, nat = 3, ntyp = 3
/
ATOMIC_SPECIES
Cs 132.91 Cs.upf
Pu 244.00 Pu.upf
Tc 98.00 Tc.upf
ATOMIC_POSITIONS crystal
Cs 0.000 0.000 0.000
Pu 0.750 0.750 0.750
Tc 0.500 0.500 0.500
CELL_PARAMETERS angstrom
-3.652 1.837 2.410
-1.611 4.333 -1.071
-4.220 0.508 -2.110
```

This record from the Open Quantum Materials Database describes a relaxed ThZrPd crystal. The functional is PBE-GGA. Values from VASP.

Values from the calculation:
- polymorph energy (0 for the lowest one) (meV/atom) = 0
- energy relative to the elements (eV per formula unit) = -0.2

```
&SYSTEM
  ibrav = 0, nat = 3, ntyp = 3
/
ATOMIC_SPECIES
Pd 106.42 Pd.upf
Th 232.04 Th.upf
Zr 91.22 Zr.upf
ATOMIC_POSITIONS crystal
Pd 0.000 0.000 0.000
Th 0.250 0.250 0.250
Zr 0.750 0.750 0.750
CELL_PARAMETERS angstrom
0.000 3.410 3.410
3.410 0.000 3.410
3.410 3.410 0.000
```

This record from the Open Quantum Materials Database describes a relaxed SmHoS2 crystal. The functional is PBE-GGA. Values from VASP.

Values from the calculation:
- polymorph energy (0 for the lowest one) (meV/atom) = 17

```
&SYSTEM
  ibrav = 0, nat = 4, ntyp = 3
/
ATOMIC_SPECIES
Ho 164.93 Ho.upf
S 32.06 S.upf
Sm 150.36 Sm.upf
ATOMIC_POSITIONS crystal
Ho 0.000 0.000 0.000
S 0.500 0.500 0.000
S 0.000 0.000 0.500
Sm 0.500 0.500 0.500
CELL_PARAMETERS angstrom
-1.870 -2.980 1.781
3.408 -1.192 1.585
-0.933 3.240 4.444
```

This record from the Open Quantum Materials Database describes a relaxed Al2ZnTe2Se2 crystal. The functional is PBE-GGA. Values from VASP.

Values from the calculation:
- polymorph energy (0 for the lowest one) (meV/atom) = 0

```
&SYSTEM
  ibrav = 0, nat = 7, ntyp = 4
/
ATOMIC_SPECIES
Al 26.98 Al.upf
Se 78.96 Se.upf
Te 127.60 Te.upf
Zn 65.41 Zn.upf
ATOMIC_POSITIONS crystal
Al 0.502 0.479 0.000
Al 0.730 0.251 0.500
Se 0.376 0.388 0.258
Se 0.609 0.121 0.742
Te 0.899 0.867 0.274
Te 0.133 0.626 0.726
Zn 0.001 0.017 0.999
CELL_PARAMETERS angstrom
5.831 0.000 0.000
-0.004 5.863 0.000
-2.879 -2.803 5.736
```

Record order is preserved below.
Final energy: -6.974 -7.133 -5.749 -8.546 -6.059 -7.118 -6.373 -3.779 eV per atom